Entry 1:
Compound: HoZnCuGe2
Source: the Alexandria database
Functional: GGA-PBE
Structure: relaxed

```
HoZnCuGe2
1.0
-2.022 2.022 5.464
2.022 -2.022 5.464
2.022 2.022 -5.464
Ho Zn Cu Ge
1 1 1 2
Cartesian
0.000 0.000 0.000
0.000 2.022 2.732
2.022 0.000 2.732
0.000 0.000 4.216
0.000 0.000 6.712
```

## Properties
As for the formation energy: -389 meV/atom. As for the space-group type: I-4m2 (119).

***

Entry 2:
Compound: Ho2ZnCu3Ge4
Source: the Alexandria database
Functional: GGA-PBE
Structure: relaxed

```
Ho2ZnCu3Ge4
1.0
4.057 0.000 0.000
0.000 4.057 0.000
0.000 0.000 10.549
Ho Zn Cu Ge
2 1 3 4
Cartesian
0.000 2.028 2.626
2.028 0.000 7.922
2.028 2.028 0.000
0.000 0.000 0.000
0.000 2.028 6.715
2.028 0.000 3.834
0.000 0.000 5.274
0.000 2.028 9.058
2.028 0.000 1.491
2.028 2.028 5.274
```

## Properties
As for the formation energy: -449 meV/atom. As for the space-group type: P-4m2 (115).

***

Entry 3:
Compound: CuGeI
Source: the Alexandria database
Functional: GGA-PBE
Structure: relaxed

```
CuGeI
1.0
3.958 0.000 0.000
1.970 3.709 0.000
0.381 1.102 10.798
Cu Ge I
2 2 2
Cartesian
1.208 0.604 3.353
5.102 4.207 7.444
3.148 3.572 5.859
3.162 1.239 4.939
1.139 1.892 8.765
5.171 2.918 2.032
```

## Properties
The value obtained for the energy above the most stable polymorph in this dataset is 0.0163 eV/atom. As for the space-group type: P-1 (2). Its energy relative to the elements, uncorrected is -0.128 eV/f.u.

***

Entry 4:
Compound: Cu2Ge2I
Source: the Alexandria database
Functional: GGA-PBE
Structure: relaxed

```
Cu2Ge2I
1.0
-2.016 2.016 6.005
2.016 -2.016 6.005
2.016 2.016 -6.005
Cu Ge I
2 2 1
Cartesian
0.000 0.000 1.396
0.000 0.000 10.615
2.016 0.000 3.003
0.000 2.016 3.003
0.000 0.000 6.005
```

## Properties
As for the space-group type: I4/mmm (139). Its energy relative to the elements, uncorrected is 1.529 eV/f.u.

***

Entry 5:
Compound: CuGeI
Source: the Alexandria database
Functional: GGA-PBE
Structure: relaxed

```
CuGeI
1.0
4.154 0.000 0.000
-1.893 5.930 0.000
-0.701 -1.075 6.284
Cu Ge I
2 2 2
Cartesian
0.000 0.000 0.000
-1.108 3.770 0.868
-0.333 2.978 3.022
1.767 3.225 4.548
-0.237 0.208 2.576
1.477 0.617 5.800
```

## Properties
The value obtained for the energy above the most stable polymorph in this dataset is 0.1793 eV/atom. As for the space-group type: P1 (1). Its energy relative to the elements, uncorrected is 0.361 eV/f.u.

***

Entry 6:
Compound: Cu2GeI6
Source: the Alexandria database
Functional: GGA-PBE
Structure: relaxed

```
Cu2GeI6
1.0
0.000 5.441 5.441
5.441 0.000 5.441
5.441 5.441 0.000
Cu Ge I
2 1 6
Cartesian
2.721 2.721 2.721
8.162 8.162 8.162
0.000 0.000 0.000
5.441 5.441 2.748
5.441 2.748 5.441
8.135 5.441 5.441
2.748 5.441 5.441
5.441 8.135 5.441
5.441 5.441 8.135
```

## Properties
The value obtained for the energy above the most stable polymorph in this dataset is 0.6885 eV/atom. As for the space-group type: Fm-3m (225). Its energy relative to the elements, uncorrected is 4.518 eV/f.u.

***

Entry 7:
Compound: CuGeI
Source: the Alexandria database
Functional: GGA-PBE
Structure: relaxed

```
CuGeI
1.0
4.388 0.000 0.000
1.721 6.134 0.000
0.634 2.311 5.942
Cu Ge I
2 2 2
Cartesian
1.286 1.846 1.389
5.457 6.599 4.553
3.248 7.501 3.812
3.495 0.944 2.130
2.238 4.040 4.728
4.505 4.406 1.214
```

## Properties
The value obtained for the energy above the most stable polymorph in this dataset is 0.1006 eV/atom. As for the space-group type: P-1 (2). Its energy relative to the elements, uncorrected is 0.125 eV/f.u.

***

Entry 8:
Compound: CuGeI
Source: the Alexandria database
Functional: GGA-PBE
Structure: relaxed

```
CuGeI
1.0
3.667 -2.094 0.000
3.667 2.094 0.000
-2.355 0.000 10.785
Cu Ge I
2 2 2
Cartesian
0.000 0.000 0.000
0.017 0.000 4.331
1.250 0.000 2.152
6.179 0.000 2.176
2.592 0.000 9.566
4.954 0.000 5.547
```

## Properties
The value obtained for the energy above the most stable polymorph in this dataset is 0.0000 eV/atom. As for the space-group type: Cm (8). Its energy relative to the elements, uncorrected is -0.177 eV/f.u.

***

Entry 9:
Compound: CuGeI
Source: the Alexandria database
Functional: GGA-PBE
Structure: relaxed

```
CuGeI
1.0
3.960 0.000 0.000
1.977 3.706 0.000
1.786 0.466 10.751
Cu Ge I
2 2 2
Cartesian
1.962 1.798 2.046
5.761 2.375 8.705
3.766 3.007 10.292
3.957 1.166 0.459
3.939 3.190 3.366
3.784 0.982 7.385
```

## Properties
The value obtained for the energy above the most stable polymorph in this dataset is 0.0165 eV/atom. As for the space-group type: P-1 (2). Its energy relative to the elements, uncorrected is -0.127 eV/f.u.

***

Entry 10:
Compound: CuGeI2
Source: the Alexandria database
Functional: GGA-PBE
Structure: relaxed

```
CuGeI2
1.0
-3.700 3.700 4.536
3.700 -3.700 4.536
3.700 3.700 -4.536
Cu Ge I
2 2 4
Cartesian
0.000 0.000 0.000
0.000 3.700 2.268
3.700 0.000 2.268
0.000 0.000 4.536
5.550 1.508 -1.134
1.508 1.850 1.134
-1.850 2.192 3.402
2.192 1.850 5.670
```

## Properties
The value obtained for the energy above the most stable polymorph in this dataset is 0.0000 eV/atom. As for the space-group type: I-42d (122). Its energy relative to the elements, uncorrected is 0.930 eV/f.u.

***

Entry 11:
Compound: CuGeI2
Source: the Alexandria database
Functional: GGA-PBE
Structure: relaxed

```
CuGeI2
1.0
0.000 3.712 3.712
3.712 0.000 3.712
3.712 3.712 0.000
Cu Ge I
1 1 2
Cartesian
0.000 0.000 0.000
3.712 3.712 3.712
1.856 1.856 1.856
5.568 5.568 5.568
```

## Properties
The value obtained for the energy above the most stable polymorph in this dataset is 0.2218 eV/atom. As for the space-group type: Fm-3m (225). Its energy relative to the elements, uncorrected is 1.817 eV/f.u.

***

Entry 12:
Compound: Cu2GeI6
Source: the Alexandria database
Functional: GGA-PBE
Structure: relaxed

```
Cu2GeI6
1.0
6.987 -6.348 0.000
6.987 6.348 0.000
-1.559 0.000 7.180
Cu Ge I
4 2 12
Cartesian
2.054 1.024 2.378
1.275 -1.024 5.969
11.141 1.024 1.212
10.362 -1.024 4.802
5.818 1.348 5.385
6.598 -1.348 1.795
0.709 1.034 4.552
3.880 3.205 6.234
1.489 -1.034 0.962
4.652 1.114 2.656
7.756 3.205 4.537
3.873 -1.114 6.246
8.543 1.114 0.934
4.660 -3.205 2.644
7.764 -1.114 4.524
10.927 1.034 6.219
8.536 -3.205 0.946
11.707 -1.034 2.628
```

## Properties
The value obtained for the energy above the most stable polymorph in this dataset is 0.0556 eV/atom. As for the space-group type: C2/c (15). Its energy relative to the elements, uncorrected is -1.178 eV/f.u.

***

Entry 13:
Compound: CuGe3I
Source: the Alexandria database
Functional: GGA-PBE
Structure: relaxed

```
CuGe3I
1.0
4.875 0.000 0.000
0.000 4.875 0.000
0.000 0.000 4.875
Cu Ge I
1 3 1
Cartesian
0.000 0.000 0.000
0.000 0.000 2.437
0.000 2.437 0.000
2.437 0.000 0.000
2.437 2.437 2.437
```

## Properties
The value obtained for the energy above the most stable polymorph in this dataset is 0.0000 eV/atom. As for the space-group type: Pm-3m (221). Its energy relative to the elements, uncorrected is 2.340 eV/f.u.

***

Entry 14:
Compound: CuGeI6
Source: the Alexandria database
Functional: GGA-PBE
Structure: relaxed

```
CuGeI6
1.0
6.582 0.000 0.000
-2.742 6.649 0.000
-0.176 -3.138 6.929
Cu Ge I
1 1 6
Cartesian
0.000 0.000 0.000
3.203 -1.569 3.465
0.915 -1.458 5.194
-0.654 5.312 0.664
0.189 1.986 3.374
3.475 1.525 3.556
4.319 -1.801 6.266
2.749 4.969 1.735
```

## Properties
As for the space-group type: P-1 (2). Its energy relative to the elements, uncorrected is -0.225 eV/f.u.

***

Entry 15:
Compound: CuGeI2
Source: the Alexandria database
Functional: GGA-PBE
Structure: relaxed

```
CuGeI2
1.0
2.075 1.198 9.111
-2.075 1.198 9.111
0.000 -2.396 9.111
Cu Ge I
1 1 2
Cartesian
0.000 0.000 0.000
0.000 0.000 13.667
0.000 0.000 2.469
0.000 0.000 24.865
```

## Properties
The value obtained for the energy above the most stable polymorph in this dataset is 0.0758 eV/atom. As for the space-group type: R-3m (166). Its energy relative to the elements, uncorrected is 1.233 eV/f.u.

***

Entry 16:
Compound: CuGeI
Source: the Alexandria database
Functional: GGA-PBE
Structure: relaxed

```
CuGeI
1.0
6.265 -2.088 0.000
6.265 2.088 0.000
-1.402 0.000 6.263
Cu Ge I
2 2 2
Cartesian
0.000 0.000 0.000
7.741 0.000 0.092
2.160 0.000 1.152
9.142 0.000 2.584
3.274 0.000 5.892
6.589 0.000 3.661
```

## Properties
The value obtained for the energy above the most stable polymorph in this dataset is 0.1582 eV/atom. As for the space-group type: Cm (8). Its energy relative to the elements, uncorrected is 0.298 eV/f.u.

***

Entry 17:
Compound: Cu2GeI6
Source: the Alexandria database
Functional: GGA-PBE
Structure: relaxed

```
Cu2GeI6
1.0
7.807 -7.764 0.000
7.807 7.764 0.000
-2.983 0.000 6.146
Cu Ge I
4 2 12
Cartesian
3.735 1.215 0.357
2.244 -1.215 3.430
10.387 1.215 2.716
8.895 -1.215 5.789
7.061 3.886 1.536
5.569 -3.886 4.609
3.449 5.352 5.600
1.875 1.222 4.193
5.033 2.425 2.332
7.689 5.352 3.619
3.367 -1.222 1.120
9.089 2.425 0.741
3.541 -2.425 5.405
9.263 1.222 5.026
4.941 -5.352 2.527
7.598 -2.425 3.814
10.755 -1.222 1.953
9.181 -5.352 0.546
```

## Properties
The value obtained for the energy above the most stable polymorph in this dataset is 0.0000 eV/atom. As for the space-group type: C2/c (15). Its energy relative to the elements, uncorrected is -1.678 eV/f.u.

***

Entry 18:
Compound: CuGeI
Source: the Alexandria database
Functional: GGA-PBE
Structure: relaxed

```
CuGeI
1.0
4.222 0.000 0.000
1.960 4.162 0.000
0.711 1.743 9.558
Cu Ge I
2 2 2
Cartesian
0.000 0.000 0.000
3.354 4.591 7.518
2.878 2.321 8.284
4.260 2.500 0.119
2.797 3.249 2.343
5.454 4.770 5.871
```

## Properties
The value obtained for the energy above the most stable polymorph in this dataset is 0.0513 eV/atom. As for the space-group type: P1 (1). Its energy relative to the elements, uncorrected is -0.023 eV/f.u.

***

Entry 19:
Compound: K2Cu2GeI6
Source: the Alexandria database
Functional: GGA-PBE
Structure: relaxed

```
K2Cu2GeI6
1.0
7.133 -4.159 0.000
7.133 4.159 0.000
-4.379 0.000 7.111
K Cu Ge I
2 2 1 6
Cartesian
2.478 0.000 1.509
7.409 0.000 5.602
2.949 0.000 5.739
6.938 0.000 1.371
-2.190 0.000 3.555
5.484 2.104 1.372
0.687 0.000 4.518
4.402 2.104 5.739
5.484 -2.104 1.372
9.200 0.000 2.593
4.402 -2.104 5.739
```

## Properties
As for the space-group type: C2/m (12). Its energy relative to the elements, uncorrected is -6.823 eV/f.u.

***

Entry 20:
Compound: KCu2GeI6
Source: the Alexandria database
Functional: GGA-PBE
Structure: relaxed

```
KCu2GeI6
1.0
7.815 -7.216 0.000
7.815 7.216 0.000
-0.950 0.000 7.403
K Cu Ge I
2 4 2 12
Cartesian
7.103 6.045 5.552
7.578 -6.045 1.851
5.320 1.042 5.506
5.796 -1.042 1.804
8.885 1.042 5.599
9.360 -1.042 1.897
7.578 3.570 1.851
7.103 -3.570 5.552
5.629 5.450 2.532
5.129 3.264 6.641
9.527 5.450 1.170
5.406 1.163 2.954
9.076 3.264 4.463
4.930 -1.163 6.656
9.750 1.163 0.747
5.604 -3.264 2.940
9.275 -1.163 4.449
5.153 -5.450 6.233
9.552 -3.264 0.762
9.052 -5.450 4.871
```

## Properties
As for the space-group type: C2/c (15). Its energy relative to the elements, uncorrected is -4.045 eV/f.u.

***

Number 1: energy -4.2251 eV/atom. Number 2: energy -4.5674 eV/atom. Number 3: energy -3.4637 eV/atom. Number 4: energy -3.4897 eV/atom. Number 5: energy -3.3008 eV/atom. Number 6: energy -1.9547 eV/atom. Number 7: energy -3.3794 eV/atom. Number 8: energy -3.4801 eV/atom. Number 9: energy -3.4636 eV/atom. Number 10: energy -2.7211 eV/atom. Number 11: energy -2.4993 eV/atom. Number 12: energy -2.5876 eV/atom. Number 13: energy -3.4316 eV/atom. Number 14: energy -2.2799 eV/atom. Number 15: energy -2.6453 eV/atom. Number 16: energy -3.3219 eV/atom. Number 17: energy -2.6432 eV/atom. Number 18: energy -3.4287 eV/atom. Number 19: energy -2.8299 eV/atom. Number 20: energy -2.7253 eV/atom.